# Lu2ScZn (PBE, relaxed)
data_Lu2ScZn
_cell_length_a 4.6124
_cell_length_b 4.6124
_cell_length_c 4.4760
_cell_angle_alpha 90.00
_cell_angle_beta 90.00
_cell_angle_gamma 90.00
_symmetry_space_group_name_H-M 'P 4/m m m'
_symmetry_Int_Tables_number 123
_symmetry_space_group_name_Hall '-P 4 2'
loop_
_atom_site_label
_atom_site_type_symbol
_atom_site_fract_x
_atom_site_fract_y
_atom_site_fract_z
Lu1 Lu 0.0000 0.5000 0.0000
Sc1 Sc 0.0000 0.0000 0.5000
Zn1 Zn 0.5000 0.5000 0.5000
# Spin magnetization (μB per formula unit): 0.004
# Relative energy among the computed polymorphs (eV/f.u.): 0.42
# Formation energy (eV per atom): -0.05